Record 1
# K3U4S12 PBE-GGA relaxed
data_K3U4S12
_symmetry_space_group_name_H-M 'I m -3'
_symmetry_Int_Tables_number 204
_symmetry_space_group_name_Hall '-I 2 2 3'
_cell_length_a 10.321
_cell_length_b 10.321
_cell_length_c 10.321
_cell_angle_alpha 90.00
_cell_angle_beta 90.00
_cell_angle_gamma 90.00
loop_
_atom_site_label
_atom_site_fract_x
_atom_site_fract_y
_atom_site_fract_z
_atom_site_occupancy
K1 0.000 0.000 0.500 1
U1 0.250 0.250 0.250 1
S1 0.000 0.261 0.243 1
# **DOS at the Fermi energy**: 39.04 states/eV per cell
# **Mass density**: 4.39 g cm⁻³
# **Uncorrected energy**: -243.3 eV per cell
# **Formation energy (no corrections)**: -1247 meV/atom



Record 2
# BaReMo2 PBE-GGA relaxed
data_BaReMo2
_symmetry_space_group_name_H-M 'C m m 2'
_symmetry_Int_Tables_number 35
_symmetry_space_group_name_Hall 'C 2 -2'
_cell_length_a 3.307
_cell_length_b 4.792
_cell_length_c 10.015
_cell_angle_alpha 90.00
_cell_angle_beta 90.00
_cell_angle_gamma 90.00
loop_
_atom_site_label
_atom_site_fract_x
_atom_site_fract_y
_atom_site_fract_z
_atom_site_occupancy
Ba1 0.000 0.000 0.000 1
Re1 0.000 0.500 0.291 1
Mo1 0.000 0.000 0.494 1
Mo2 0.000 0.500 0.699 1
# **DOS at the Fermi energy**: 7.97 states/eV per cell
# **Mass density**: 10.78 g cm⁻³
# **Energy above the lowest structure with this stoichiometry**: 0.144 eV per atom
# **Formation energy**: 891 meV per atom
# **Uncorrected energy**: -64.9 eV per cell



Record 3
# Sc3Ag2Hg4 PBE-GGA relaxed
data_Sc3Ag2Hg4
_symmetry_space_group_name_H-M 'C 1 2/m 1'
_symmetry_Int_Tables_number 12
_symmetry_space_group_name_Hall '-C 2y'
_cell_length_a 8.569
_cell_length_b 4.953
_cell_length_c 8.870
_cell_angle_alpha 90.00
_cell_angle_beta 93.10
_cell_angle_gamma 90.00
loop_
_atom_site_label
_atom_site_fract_x
_atom_site_fract_y
_atom_site_fract_z
_atom_site_occupancy
Sc1 0.000 0.000 0.000 1
Sc2 0.153 0.500 0.750 1
Ag1 0.186 0.500 0.423 1
Hg1 0.019 0.000 0.336 1
Hg2 0.171 0.500 0.090 1
# **DOS at the Fermi energy**: 10.09 states/eV per cell
# **Mass density**: 10.19 g cm⁻³
# **Formation energy**: -288 meV per atom
# **Uncorrected energy**: -57.0 eV per cell



Record 4
# GaAsAu2F PBE-GGA relaxed
data_GaAsAu2F
_symmetry_space_group_name_H-M 'P 4/m m m'
_symmetry_Int_Tables_number 123
_symmetry_space_group_name_Hall '-P 4 2'
_cell_length_a 4.997
_cell_length_b 4.997
_cell_length_c 3.884
_cell_angle_alpha 90.00
_cell_angle_beta 90.00
_cell_angle_gamma 90.00
loop_
_atom_site_label
_atom_site_fract_x
_atom_site_fract_y
_atom_site_fract_z
_atom_site_occupancy
Ga1 0.000 0.000 0.000 1
As1 0.500 0.500 0.500 1
Au1 0.000 0.500 0.000 1
F1 0.000 0.000 0.500 1
# **DOS at the Fermi energy**: 2.03 states/eV per cell
# **Mass density**: 9.55 g cm⁻³
# **Uncorrected energy**: -17.1 eV per cell
# **Formation energy (no corrections)**: -207 meV/atom



Record 5
# Ca3BiP2Pd9 PBE-GGA relaxed
data_Ca3BiP2Pd9
_symmetry_space_group_name_H-M 'P -3 m 1'
_symmetry_Int_Tables_number 164
_symmetry_space_group_name_Hall '-P 3 2"'
_cell_length_a 6.2935
_cell_length_b 6.2935
_cell_length_c 9.3797
_cell_angle_alpha 90.00
_cell_angle_beta 90.00
_cell_angle_gamma 120.00
loop_
_atom_site_label
_atom_site_fract_x
_atom_site_fract_y
_atom_site_fract_z
_atom_site_occupancy
Ca1 0.0000 0.0000 0.0000 1
Ca2 0.3333 0.6667 0.7068 1
Bi1 0.0000 0.0000 0.5000 1
P1 0.3333 0.6667 0.1575 1
Pd1 0.0000 0.5000 0.0000 1
Pd2 0.1515 0.3030 0.2699 1
# **DOS at the Fermi energy**: 6.94 states/eV per cell
# **Mass density**: 6.96 g cm⁻³
# **Formation energy**: -596 meV per atom
# **Uncorrected energy**: -76.4 eV per cell



Record 6
# CaPRh4 PBE-GGA relaxed
data_CaPRh4
_symmetry_space_group_name_H-M 'F -4 3 m'
_symmetry_Int_Tables_number 216
_symmetry_space_group_name_Hall 'F -4 2 3'
_cell_length_a 7.387
_cell_length_b 7.387
_cell_length_c 7.387
_cell_angle_alpha 90.00
_cell_angle_beta 90.00
_cell_angle_gamma 90.00
loop_
_atom_site_label
_atom_site_fract_x
_atom_site_fract_y
_atom_site_fract_z
_atom_site_occupancy
Ca1 0.000 0.000 0.000 1
P1 0.250 0.250 0.750 1
Rh1 0.124 0.124 0.376 1
# **DOS at the Fermi energy**: 36.70 states/eV per cell
# **Mass density**: 7.95 g cm⁻³
# **Formation energy**: 49 meV per atom
# **Uncorrected energy**: -146.1 eV per cell



Record 7
# Cd2TePb PBE-GGA relaxed
data_Cd2TePb
_symmetry_space_group_name_H-M 'R 3 m'
_symmetry_Int_Tables_number 160
_symmetry_space_group_name_Hall 'R 3 -2"'
_cell_length_a 3.5172
_cell_length_b 3.5172
_cell_length_c 31.0818
_cell_angle_alpha 90.00
_cell_angle_beta 90.00
_cell_angle_gamma 120.00
loop_
_atom_site_label
_atom_site_fract_x
_atom_site_fract_y
_atom_site_fract_z
_atom_site_occupancy
Cd1 0.0000 0.0000 0.0000 1
Cd2 0.0000 0.0000 0.2606 1
Te1 0.0000 0.0000 0.5178 1
Pb1 0.0000 0.0000 0.7522 1
# **DOS at the Fermi energy**: 10.76 states/eV per cell
# **Mass density**: 8.37 g cm⁻³
# **Energy above the lowest structure with this stoichiometry**: 0.147 eV per atom
# **Uncorrected energy**: -25.1 eV per cell
# **Formation energy (no corrections)**: 77 meV/atom



Record 8
# ZrNbSiP2 PBE-GGA relaxed
data_ZrNbSiP2
_symmetry_space_group_name_H-M 'P 4/m m m'
_symmetry_Int_Tables_number 123
_symmetry_space_group_name_Hall '-P 4 2'
_cell_length_a 4.846
_cell_length_b 4.846
_cell_length_c 5.218
_cell_angle_alpha 90.00
_cell_angle_beta 90.00
_cell_angle_gamma 90.00
loop_
_atom_site_label
_atom_site_fract_x
_atom_site_fract_y
_atom_site_fract_z
_atom_site_occupancy
Zr1 0.000 0.000 0.000 1
Nb1 0.000 0.000 0.500 1
Si1 0.500 0.500 0.500 1
P1 0.000 0.500 0.000 1
# **DOS at the Fermi energy**: 5.71 states/eV per cell
# **Mass density**: 3.72 g cm⁻³
# **Uncorrected energy**: -28.9 eV per cell
# **Formation energy (no corrections)**: 1186 meV/atom



Record 9
# Li2Tl2Pd PBE-GGA relaxed
data_Li2Tl2Pd
_symmetry_space_group_name_H-M 'C 1 2/m 1'
_symmetry_Int_Tables_number 12
_symmetry_space_group_name_Hall '-C 2y'
_cell_length_a 9.739
_cell_length_b 3.671
_cell_length_c 10.736
_cell_angle_alpha 90.00
_cell_angle_beta 94.37
_cell_angle_gamma 90.00
loop_
_atom_site_label
_atom_site_fract_x
_atom_site_fract_y
_atom_site_fract_z
_atom_site_occupancy
Li1 0.075 0.000 0.333 1
Li2 0.167 0.000 0.057 1
Tl1 0.034 0.500 0.856 1
Tl2 0.145 0.500 0.570 1
Pd1 0.237 0.000 0.771 1
# **DOS at the Fermi energy**: 6.71 states/eV per cell
# **Mass density**: 9.18 g cm⁻³
# **Energy above the lowest structure with this stoichiometry**: 0.008 eV per atom
# **Formation energy**: -270 meV per atom
# **Uncorrected energy**: -60.4 eV per cell



Record 10
# Pm3Sb2P PBE-GGA relaxed
data_Pm3Sb2P
_symmetry_space_group_name_H-M 'I 4/m m m'
_symmetry_Int_Tables_number 139
_symmetry_space_group_name_Hall '-I 4 2'
_cell_length_a 4.386
_cell_length_b 4.386
_cell_length_c 18.525
_cell_angle_alpha 90.00
_cell_angle_beta 90.00
_cell_angle_gamma 90.00
loop_
_atom_site_label
_atom_site_fract_x
_atom_site_fract_y
_atom_site_fract_z
_atom_site_occupancy
Pm1 0.000 0.000 0.000 1
Pm2 0.000 0.000 0.343 1
Sb1 0.000 0.000 0.169 1
P1 0.000 0.000 0.500 1
# **DOS at the Fermi energy**: 1.61 states/eV per cell
# **Mass density**: 6.61 g cm⁻³
# **Energy above the lowest structure with this stoichiometry**: 0.008 eV per atom
# **Uncorrected energy**: -70.9 eV per cell
# **Formation energy (no corrections)**: -1258 meV/atom



Record 11
# AlAsPtBr2 PBE-GGA relaxed
data_AlAsPtBr2
_symmetry_space_group_name_H-M 'P 4/m m m'
_symmetry_Int_Tables_number 123
_symmetry_space_group_name_Hall '-P 4 2'
_cell_length_a 5.457
_cell_length_b 5.457
_cell_length_c 4.707
_cell_angle_alpha 90.00
_cell_angle_beta 90.00
_cell_angle_gamma 90.00
loop_
_atom_site_label
_atom_site_fract_x
_atom_site_fract_y
_atom_site_fract_z
_atom_site_occupancy
Al1 0.000 0.000 0.000 1
As1 0.500 0.500 0.000 1
Pt1 0.500 0.500 0.500 1
Br1 0.000 0.500 0.500 1
# **DOS at the Fermi energy**: 2.59 states/eV per cell
# **Mass density**: 5.41 g cm⁻³
# **Energy above the lowest structure with this stoichiometry**: 0.000 eV per atom
# **Uncorrected energy**: -16.6 eV per cell
# **Formation energy (no corrections)**: 245 meV/atom



Record 12
# RbZn2GaPd PBE-GGA relaxed
data_RbZn2GaPd
_symmetry_space_group_name_H-M 'P 4/m m m'
_symmetry_Int_Tables_number 123
_symmetry_space_group_name_Hall '-P 4 2'
_cell_length_a 5.040
_cell_length_b 5.040
_cell_length_c 4.879
_cell_angle_alpha 90.00
_cell_angle_beta 90.00
_cell_angle_gamma 90.00
loop_
_atom_site_label
_atom_site_fract_x
_atom_site_fract_y
_atom_site_fract_z
_atom_site_occupancy
Rb1 0.000 0.000 0.000 1
Zn1 0.000 0.500 0.500 1
Ga1 0.500 0.500 0.000 1
Pd1 0.500 0.500 0.500 1
# **DOS at the Fermi energy**: 1.14 states/eV per cell
# **Mass density**: 5.26 g cm⁻³
# **Energy above the lowest structure with this stoichiometry**: 0.000 eV per atom
# **Formation energy**: -161 meV per atom
# **Uncorrected energy**: -12.5 eV per cell